Version a
First-principles (GGA-PBE) data for crystalline ZrNbP at its relaxed geometry, as listed in Alexandria.

Cell: 3.584 8.124 8.125 Å, 93.14 102.74 90.00°
Atoms (fractional coordinates):
1 Zr 0.080 0.398 0.159
2 Zr 0.421 0.177 0.842
3 Zr 0.920 0.602 0.841
4 Zr 0.579 0.823 0.158
5 P 0.411 0.845 0.821
6 P 0.661 0.564 0.321
7 P 0.589 0.155 0.179
8 P 0.339 0.436 0.679
9 Nb 0.749 0.319 0.498
10 Nb 0.814 0.943 0.627
11 Nb 0.251 0.681 0.502
12 Nb 0.186 0.057 0.373

Computed properties:
Total magnetization in μB/f.u.: 0.000


Version b
First-principles (GGA-PBE) data for crystalline ZrNbP at its relaxed geometry, as listed in Alexandria.

Cell: 3.585 6.928 8.333 Å, 90.00 90.00 90.00°
Atoms (fractional coordinates):
1 P 0.750 0.239 0.858
2 P 0.750 0.739 0.642
3 P 0.250 0.261 0.358
4 P 0.250 0.761 0.142
5 Zr 0.750 0.466 0.169
6 Zr 0.250 0.534 0.831
7 Zr 0.250 0.034 0.669
8 Zr 0.750 0.966 0.331
9 Nb 0.750 0.361 0.560
10 Nb 0.250 0.139 0.060
11 Nb 0.750 0.861 0.940
12 Nb 0.250 0.639 0.440

Computed properties:
Total magnetization in μB/f.u.: 0.000


Version c
First-principles (GGA-PBE) data for crystalline ZrNbP at its relaxed geometry, as listed in Alexandria.

Cell: 3.585 7.119 12.338 Å, 90.00 90.00 90.00°
Atoms (fractional coordinates):
1 Zr 0.000 0.211 0.948
2 Zr 0.000 0.211 0.552
3 Zr 0.000 0.789 0.052
4 Zr 0.000 0.789 0.448
5 Zr 0.000 0.180 0.250
6 Zr 0.000 0.820 0.750
7 P 0.500 0.921 0.602
8 P 0.000 0.432 0.750
9 P 0.500 0.079 0.398
10 P 0.000 0.568 0.250
11 P 0.500 0.921 0.898
12 P 0.500 0.079 0.102
13 Nb 0.500 0.552 0.615
14 Nb 0.500 0.448 0.115
15 Nb 0.500 0.821 0.250
16 Nb 0.500 0.179 0.750
17 Nb 0.500 0.552 0.885
18 Nb 0.500 0.448 0.385

Computed properties:
Total magnetization in μB/f.u.: 0.000


Which one sits at the bottom of the stability order? version a does.


Version a
First-principles (GGA-PBE) data for crystalline ZrNbP3 at its relaxed geometry, as listed in Alexandria.

Cell: 4.871 4.871 4.871 Å, 90.00 90.00 90.00°
Atoms (fractional coordinates):
1 P 0.000 0.000 0.500
2 P 0.500 0.000 0.000
3 P 0.000 0.500 0.000
4 Zr 0.000 0.000 0.000
5 Nb 0.500 0.500 0.500

Computed properties:
Total magnetization in μB/f.u.: 0.000


Version b
First-principles (GGA-PBE) data for crystalline ZrNbP3 at its relaxed geometry, as listed in Alexandria.

Cell: 4.744 4.744 4.744 Å, 90.00 90.00 90.00°
Atoms (fractional coordinates):
1 P 0.000 0.500 0.000
2 P 0.000 0.000 0.500
3 P 0.500 0.000 0.000
4 Zr 0.500 0.500 0.500
5 Nb 0.000 0.000 0.000

Computed properties:
Total magnetization in μB/f.u.: 0.016


Which one sits at the bottom of the stability order? version a does.


Version a
First-principles (GGA-PBE) data for crystalline Pa3Nb at its relaxed geometry, as listed in Alexandria.

Cell: 3.150 5.427 5.429 Å, 90.00 90.00 90.00°
Atoms (fractional coordinates):
1 Pa 0.500 0.500 0.917
2 Pa 0.500 0.000 0.417
3 Pa 0.000 0.000 0.917
4 Nb 0.000 0.500 0.417

Computed properties:
Total magnetization in μB/f.u.: 0.000


Version b
First-principles (GGA-PBE) data for crystalline Pa3Nb at its relaxed geometry, as listed in Alexandria.

Cell: 4.570 4.570 4.570 Å, 90.00 90.00 90.00°
Atoms (fractional coordinates):
1 Pa 0.500 0.000 0.500
2 Pa 0.000 0.500 0.500
3 Pa 0.500 0.500 0.000
4 Nb 0.000 0.000 0.000

Computed properties:
Total magnetization in μB/f.u.: 0.000


Which one sits at the bottom of the stability order? version b does.


Version a
First-principles (GGA-PBE) data for crystalline Pa3Nb at its relaxed geometry, as listed in Alexandria.

Cell: 5.077 5.077 5.077 Å, 60.00 60.00 60.00°
Atoms (fractional coordinates):
1 Nb 0.500 0.500 0.500
2 Pa 0.750 0.750 0.750
3 Pa 0.000 0.000 0.000
4 Pa 0.250 0.250 0.250

Computed properties:
Total magnetization in μB/f.u.: 0.003


Version b
First-principles (GGA-PBE) data for crystalline Pa3Nb at its relaxed geometry, as listed in Alexandria.

Cell: 3.051 5.784 6.180 Å, 117.90 104.29 90.00°
Atoms (fractional coordinates):
1 Pa 0.500 0.541 0.000
2 Pa 0.262 0.547 0.524
3 Pa 0.738 0.022 0.476
4 Nb 0.000 0.057 0.000

Computed properties:
Total magnetization in μB/f.u.: 0.000


Version c
First-principles (GGA-PBE) data for crystalline Pa3Nb at its relaxed geometry, as listed in Alexandria.

Cell: 6.238 6.238 5.593 Å, 90.00 90.00 120.00°
Atoms (fractional coordinates):
1 Nb 0.667 0.333 0.250
2 Nb 0.333 0.667 0.750
3 Pa 0.827 0.173 0.750
4 Pa 0.654 0.827 0.250
5 Pa 0.346 0.173 0.750
6 Pa 0.173 0.346 0.250
7 Pa 0.173 0.827 0.250
8 Pa 0.827 0.654 0.750

Computed properties:
Total magnetization in μB/f.u.: 0.000


Which one sits at the bottom of the stability order? version a does.


Version a
First-principles (GGA-PBE) data for crystalline Pa2NbPb at its relaxed geometry, as listed in Alexandria.

Cell: 5.213 5.213 5.213 Å, 60.00 60.00 60.00°
Atoms (fractional coordinates):
1 Nb 0.000 0.000 0.000
2 Pb 0.500 0.500 0.500
3 Pa 0.250 0.250 0.250
4 Pa 0.750 0.750 0.750

Computed properties:
Total magnetization in μB/f.u.: 0.003


Version b
First-principles (GGA-PBE) data for crystalline Pa2NbPb at its relaxed geometry, as listed in Alexandria.

Cell: 3.990 3.990 8.272 Å, 76.04 76.04 60.00°
Atoms (fractional coordinates):
1 Pa 0.267 0.267 0.198
2 Pa 0.733 0.733 0.802
3 Nb 0.000 0.000 0.000
4 Pb 0.500 0.500 0.500

Computed properties:
Total magnetization in μB/f.u.: 0.000


Version c
First-principles (GGA-PBE) data for crystalline Pa2NbPb at its relaxed geometry, as listed in Alexandria.

Cell: 4.787 4.425 4.425 Å, 90.00 90.00 90.00°
Atoms (fractional coordinates):
1 Nb 0.500 0.000 0.000
2 Pa 0.000 0.500 0.000
3 Pa 0.000 0.000 0.500
4 Pb 0.500 0.500 0.500

Computed properties:
Total magnetization in μB/f.u.: 0.000


Version d
First-principles (GGA-PBE) data for crystalline Pa2NbPb at its relaxed geometry, as listed in Alexandria.

Cell: 3.936 3.936 6.401 Å, 90.00 90.00 90.00°
Atoms (fractional coordinates):
1 Pa 0.000 0.000 0.759
2 Pa 0.000 0.000 0.241
3 Pb 0.500 0.500 0.500
4 Nb 0.500 0.500 0.000

Computed properties:
Total magnetization in μB/f.u.: 0.000


Which one sits at the bottom of the stability order? version b does.


Version a
First-principles (GGA-PBE) data for crystalline PaNbPd2 at its relaxed geometry, as listed in Alexandria.

Cell: 4.219 4.197 4.197 Å, 90.00 90.00 90.00°
Atoms (fractional coordinates):
1 Pd 0.000 0.000 0.500
2 Pd 0.000 0.500 0.000
3 Nb 0.500 0.500 0.500
4 Pa 0.500 0.000 0.000

Computed properties:
Total magnetization in μB/f.u.: 0.003


Version b
First-principles (GGA-PBE) data for crystalline PaNbPd2 at its relaxed geometry, as listed in Alexandria.

Cell: 2.953 2.953 9.958 Å, 81.47 81.47 60.00°
Atoms (fractional coordinates):
1 Pd 0.744 0.744 0.768
2 Pd 0.256 0.256 0.232
3 Nb 0.000 0.000 0.000
4 Pa 0.500 0.500 0.500

Computed properties:
Total magnetization in μB/f.u.: 0.000


Which one sits at the bottom of the stability order? version b does.


Version a
First-principles (GGA-PBE) data for crystalline PaNbPd at its relaxed geometry, as listed in Alexandria.

Cell: 3.727 3.727 5.058 Å, 111.62 111.62 90.00°
Atoms (fractional coordinates):
1 Pa 0.344 0.344 0.687
2 Pd 0.007 0.007 0.014
3 Nb 0.649 0.649 0.299

Computed properties:
Total magnetization in μB/f.u.: 0.000


Version b
First-principles (GGA-PBE) data for crystalline PaNbPd at its relaxed geometry, as listed in Alexandria.

Cell: 3.006 4.720 4.720 Å, 120.00 90.00 90.00°
Atoms (fractional coordinates):
1 Nb 0.410 0.333 0.667
2 Pd 0.962 0.000 0.000
3 Pa 0.628 0.667 0.333

Computed properties:
Total magnetization in μB/f.u.: 0.000


Which one sits at the bottom of the stability order? version b does.


Version a
First-principles (GGA-PBE) data for crystalline PaNbPt at its relaxed geometry, as listed in Alexandria.

Cell: 4.647 7.919 11.621 Å, 140.65 90.00 107.06°
Atoms (fractional coordinates):
1 Pa 0.391 0.783 0.770
2 Pa 0.641 0.282 0.870
3 Pa 0.609 0.217 0.230
4 Pa 0.359 0.718 0.130
5 Nb 0.143 0.285 0.699
6 Nb 0.857 0.715 0.301
7 Nb 0.369 0.737 0.440
8 Nb 0.631 0.263 0.560
9 Pt 0.917 0.834 0.632
10 Pt 0.083 0.166 0.368
11 Pt 0.119 0.238 0.040
12 Pt 0.881 0.762 0.960

Computed properties:
Total magnetization in μB/f.u.: 0.000


Version b
First-principles (GGA-PBE) data for crystalline PaNbPt at its relaxed geometry, as listed in Alexandria.

Cell: 3.761 4.508 4.508 Å, 120.00 90.00 90.00°
Atoms (fractional coordinates):
1 Pt 0.166 0.333 0.667
2 Nb 0.167 0.000 0.000
3 Pa 0.667 0.667 0.333

Computed properties:
Total magnetization in μB/f.u.: 0.000


Which one sits at the bottom of the stability order? version b does.


Version a
First-principles (GGA-PBE) data for crystalline PaNbPt2 at its relaxed geometry, as listed in Alexandria.

Cell: 2.941 2.941 9.982 Å, 81.53 81.53 60.00°
Atoms (fractional coordinates):
1 Pt 0.244 0.244 0.267
2 Pt 0.756 0.756 0.733
3 Nb 0.500 0.500 0.500
4 Pa 0.000 0.000 0.000

Computed properties:
Total magnetization in μB/f.u.: 0.000


Version b
First-principles (GGA-PBE) data for crystalline PaNbPt2 at its relaxed geometry, as listed in Alexandria.

Cell: 3.305 3.305 7.028 Å, 90.00 90.00 90.00°
Atoms (fractional coordinates):
1 Pt 0.000 0.000 0.784
2 Pt 0.000 0.000 0.216
3 Nb 0.500 0.500 0.000
4 Pa 0.500 0.500 0.500

Computed properties:
Total magnetization in μB/f.u.: 0.000


Version c
First-principles (GGA-PBE) data for crystalline PaNbPt2 at its relaxed geometry, as listed in Alexandria.

Cell: 4.228 4.195 4.195 Å, 90.00 90.00 90.00°
Atoms (fractional coordinates):
1 Nb 0.500 0.500 0.500
2 Pt 0.000 0.500 0.000
3 Pt 0.000 0.000 0.500
4 Pa 0.500 0.000 0.000

Computed properties:
Total magnetization in μB/f.u.: 0.000


Which one sits at the bottom of the stability order? version a does.


Version a
First-principles (GGA-PBE) data for crystalline Pu2PaNb at its relaxed geometry, as listed in Alexandria.

Cell: 3.127 5.310 5.310 Å, 90.00 90.00 90.00°
Last column: magnetic moment on the atom in μB.
Atoms (fractional coordinates):
1 Nb 0.500 0.000 0.000  -0.06
2 Pa 0.500 0.500 0.500  0.12
3 Pu 0.000 0.500 0.000  4.78
4 Pu 0.000 0.000 0.500  4.78

Computed properties:
Total magnetization in μB/f.u.: 9.916


Version b
First-principles (GGA-PBE) data for crystalline Pu2PaNb at its relaxed geometry, as listed in Alexandria.

Cell: 3.427 3.427 7.445 Å, 90.00 90.00 90.00°
Last column: magnetic moment on the atom in μB.
Atoms (fractional coordinates):
1 Pu 0.000 0.000 0.239  4.75
2 Pu 0.000 0.000 0.761  4.75
3 Pa 0.500 0.500 0.500  0.20
4 Nb 0.500 0.500 0.000  -0.23

Computed properties:
Total magnetization in μB/f.u.: 9.758


Which one sits at the bottom of the stability order? version a does.


Version a
First-principles (GGA-PBE) data for crystalline PuPa2Nb at its relaxed geometry, as listed in Alexandria.

Cell: 5.036 5.036 5.036 Å, 60.00 60.00 60.00°
Last column: magnetic moment on the atom in μB.
Atoms (fractional coordinates):
1 Nb 0.000 0.000 0.000  -0.33
2 Pa 0.250 0.250 0.250  0.49
3 Pa 0.750 0.750 0.750  0.49
4 Pu 0.500 0.500 0.500  5.02

Computed properties:
Total magnetization in μB/f.u.: 5.891


Version b
First-principles (GGA-PBE) data for crystalline PuPa2Nb at its relaxed geometry, as listed in Alexandria.

Cell: 3.536 3.536 7.163 Å, 90.00 90.00 90.00°
Last column: magnetic moment on the atom in μB.
Atoms (fractional coordinates):
1 Pu 0.500 0.500 0.500  4.75
2 Pa 0.000 0.000 0.753  0.17
3 Pa 0.000 0.000 0.247  0.17
4 Nb 0.500 0.500 0.000  -0.19

Computed properties:
Total magnetization in μB/f.u.: 4.965


Version c
First-principles (GGA-PBE) data for crystalline PuPa2Nb at its relaxed geometry, as listed in Alexandria.

Cell: 3.142 5.336 5.336 Å, 90.00 90.00 90.00°
Last column: magnetic moment on the atom in μB.
Atoms (fractional coordinates):
1 Nb 0.500 0.000 0.000  -0.13
2 Pu 0.500 0.500 0.500  4.45
3 Pa 0.000 0.000 0.500  -0.07
4 Pa 0.000 0.500 0.000  -0.07

Computed properties:
Total magnetization in μB/f.u.: 4.172


Which one sits at the bottom of the stability order? version c does.